Computed, not measured: a geometry-optimized ScReF2 structure at the PBE level of DFT.

Unit cell a=4.5689 b=4.5689 c=6.5895 alpha=69.72 beta=69.72 gamma=90.00
Last column: nearest neighbours and their distance in Å.
Positions (direct):
Sc (0.5000, 0.5000, 0.0000)  4 F 2.01
Sc (0.2500, 0.7500, 0.5000)  4 F 2.01
Re (0.0000, 0.0000, 0.0000)  4 F 2.34
Re (0.7500, 0.2500, 0.5000)  4 F 2.34
F (0.5562, 0.1250, 0.2500)  2 Sc 2.01
F (0.1938, 0.6250, 0.2500)  2 Sc 2.01
F (0.3750, 0.4438, 0.7500)  2 Sc 2.01
F (0.8750, 0.8062, 0.7500)  2 Sc 2.01

Raw formation energy (meV per atom): -758
E (eV per cell): -51.11
D(E_F) (states/eV per atom): 0.00
Crystal system: tetragonal
Energy above the most stable polymorph in this dataset (meV per atom): 636

Computed, not measured: a geometry-optimized ScTlRe2F structure at the PBE level of DFT.

Unit cell a=4.4009 b=4.2782 c=4.4009 alpha=90.00 beta=90.00 gamma=90.00
Last column: nearest neighbours and their distance in Å.
Positions (direct):
Sc (0.0000, 0.5000, 0.0000)  2 F 2.14
Re (0.0000, 0.0000, 0.5000)  2 F 2.20
Re (0.5000, 0.0000, 0.0000)  2 F 2.20
Tl (0.5000, 0.5000, 0.5000)  8 Re 3.07, 4 Sc 3.11
F (0.0000, 0.0000, 0.0000)  2 Sc 2.14, 4 Re 2.20

Raw formation energy (meV per atom): 574
E (eV per cell): -32.60
D(E_F) (states/eV per atom): 1.20
Crystal system: tetragonal

Computed, not measured: a geometry-optimized ZrScRe2F structure at the PBE level of DFT.

Unit cell a=4.7345 b=4.7345 c=5.7044 alpha=90.00 beta=90.00 gamma=90.00
Last column: nearest neighbours and their distance in Å.
Positions (direct):
Sc (0.0000, 0.0000, 0.5000)  2 Zr 2.85
Re (0.0000, 0.5000, 0.0000)  2 Zr 2.37
Re (0.5000, 0.0000, 0.0000)  2 Zr 2.37
Zr (0.0000, 0.0000, 0.0000)  4 Re 2.37
F (0.5000, 0.5000, 0.5000)  4 Sc 3.35, 8 Re 3.71

Raw formation energy (meV per atom): 1767
E (eV per cell): -32.81
D(E_F) (states/eV per atom): 1.18
Crystal system: tetragonal

Computed, not measured: a geometry-optimized Zr2ScReF structure at the PBE level of DFT.

Unit cell a=4.5397 b=4.4280 c=4.5397 alpha=90.00 beta=90.00 gamma=90.00
Last column: nearest neighbours and their distance in Å.
Positions (direct):
Sc (0.5000, 0.5000, 0.5000)  8 Zr 3.17, 4 Re 3.21
Re (0.0000, 0.5000, 0.0000)  2 F 2.21
Zr (0.0000, 0.0000, 0.5000)  2 F 2.27
Zr (0.5000, 0.0000, 0.0000)  2 F 2.27
F (0.0000, 0.0000, 0.0000)  2 Re 2.21, 4 Zr 2.27

Raw formation energy (meV per atom): -162
E (eV per cell): -38.56
D(E_F) (states/eV per atom): 0.96
Crystal system: tetragonal

Computed, not measured: a geometry-optimized ReSe2F structure at the PBE level of DFT.

Unit cell a=9.3114 b=9.3114 c=9.3114 alpha=17.43 beta=17.43 gamma=17.43
Last column: nearest neighbours and their distance in Å.
Positions (direct):
Re (0.0000, 0.0000, 0.0000)  2 Se 2.53, 6 Re 2.82
Se (0.9080, 0.9080, 0.9080)  1 Re 2.53, 3 F 2.62, 6 Se 2.82
Se (0.0920, 0.0920, 0.0920)  1 Re 2.53, 3 F 2.62, 6 Se 2.82
F (0.5000, 0.5000, 0.5000)  6 Se 2.62, 6 F 2.82

Raw formation energy (meV per atom): 211
E (eV per cell): -20.44
D(E_F) (states/eV per atom): 0.95
Crystal system: trigonal
Energy above the most stable polymorph in this dataset (meV per atom): 509

Computed, not measured: a geometry-optimized ReSe3F structure at the PBE level of DFT.

Unit cell a=4.4711 b=4.4711 c=4.4711 alpha=90.00 beta=90.00 gamma=90.00
Last column: nearest neighbours and their distance in Å.
Positions (direct):
Re (0.5000, 0.5000, 0.5000)  12 Se 3.16
Se (0.0000, 0.5000, 0.0000)  2 F 2.24
Se (0.0000, 0.0000, 0.5000)  2 F 2.24
Se (0.5000, 0.0000, 0.0000)  2 F 2.24
F (0.0000, 0.0000, 0.0000)  6 Se 2.24

Raw formation energy (meV per atom): 1221
E (eV per cell): -18.67
D(E_F) (states/eV per atom): 1.17
Crystal system: cubic
Energy above the most stable polymorph in this dataset (meV per atom): 1588

Computed, not measured: a geometry-optimized ReSeF2 structure at the PBE level of DFT.

Unit cell a=10.4957 b=10.4957 c=10.4957 alpha=15.10 beta=15.10 gamma=15.10
Last column: nearest neighbours and their distance in Å.
Positions (direct):
Re (0.0000, 0.0000, 0.0000)  2 F 1.89
Se (0.5000, 0.5000, 0.5000)  6 Se 2.76
F (0.9393, 0.9393, 0.9393)  1 Re 1.89
F (0.0607, 0.0607, 0.0607)  1 Re 1.89

Raw formation energy (meV per atom): -846
E (eV per cell): -23.06
D(E_F) (states/eV per atom): 0.65
Crystal system: trigonal
Energy above the most stable polymorph in this dataset (meV per atom): 0

Computed, not measured: a geometry-optimized ReSe2F structure at the PBE level of DFT.

Unit cell a=6.0612 b=6.0612 c=6.5522 alpha=62.45 beta=62.45 gamma=90.00
Last column: nearest neighbours and their distance in Å.
Positions (direct):
Re (0.0000, 0.0000, 0.0000)  4 Se 2.36
Re (0.7500, 0.2500, 0.5000)  4 Se 2.36
Se (0.6579, 0.1250, 0.2500)  2 Re 2.36, 2 F 2.60
Se (0.0921, 0.6250, 0.2500)  2 Re 2.36, 2 F 2.60
Se (0.3750, 0.3421, 0.7500)  2 Re 2.36, 2 F 2.60
Se (0.8750, 0.9079, 0.7500)  2 Re 2.36, 2 F 2.60
F (0.5000, 0.5000, 0.0000)  4 Se 2.60
F (0.2500, 0.7500, 0.5000)  4 Se 2.60

Raw formation energy (meV per atom): -163
E (eV per cell): -43.88
D(E_F) (states/eV per atom): 0.39
Crystal system: tetragonal
Energy above the most stable polymorph in this dataset (meV per atom): 135

no.,magnetization (μB per atom)
1,0.000
2,0.000
3,0.303
4,0.000
5,0.000
6,0.000
7,0.000
8,0.000